Below is a relaxed structure of CdFeCo2Br, with properties calculated at the PBE level.

abc: 4.4674 4.4674 5.1296
angles: 90.00 90.00 90.00
Fractional coordinates of all 5 atoms:
Cd  0.0000  0.0000  0.0000
Fe  0.0000  0.0000  0.5000
Co  0.0000  0.5000  0.5000
Co  0.5000  0.0000  0.5000
Br  0.5000  0.5000  0.0000

Computed properties:
The calculation puts the theoretical density at 5.9 g cm⁻³. The value obtained for the density of states at the Fermi level is 3.97 states/eV/f.u. The formation energy without anion corrections comes out at 470 kJ/mol of formula units. The total energy comes out at -20.4 eV for the cell shown. The total magnetization comes out at 6.6 μB/f.u. Its symmetry is P4/mmm, No. 123.